No. 1
Computed, not measured: an optimized crystal structure of AlZnP2 at the PBE-GGA level of DFT.

a b c (Å): 3.4913 4.1621 9.0139
angles (deg): 90.00 90.00 90.00
Element x y z (fractional)
Al 0.0000 0.0000 0.0000
Al 0.5000 0.5000 0.0000
Zn 0.0000 0.5000 0.2375
Zn 0.5000 0.0000 0.2375
P 0.0000 0.0000 0.4482
P 0.0000 0.5000 0.7895
P 0.5000 0.0000 0.7895
P 0.5000 0.5000 0.4482

## Properties
energy relative to the elements: 0.332 eV per atom

---

No. 2
Computed, not measured: an optimized crystal structure of MoAsCl at the PBE-GGA level of DFT.

a b c (Å): 3.1428 3.1428 7.4128
angles (deg): 90.00 90.00 120.00
Element x y z (fractional)
Mo 0.0000 0.0000 0.0000
As 0.6667 0.3333 0.2537
Cl 0.3333 0.6667 0.7685

## Properties
formation energy (no corrections): -216.8 meV/atom

---

No. 3
Computed, not measured: an optimized crystal structure of Co2CuOs at the PBE-GGA level of DFT.

a b c (Å): 5.2027 7.2677 2.5688
angles (deg): 90.00 90.00 90.00
Element x y z (fractional)
Co 0.2500 0.2500 0.0000
Co 0.2500 0.7500 0.0000
Co 0.7500 0.2500 0.0000
Co 0.7500 0.7500 0.0000
Cu 0.0000 0.0000 0.5000
Cu 0.5000 0.5000 0.5000
Os 0.0000 0.5000 0.5000
Os 0.5000 0.0000 0.5000

## Properties
energy relative to the elements: 0.220 eV per atom